Nb3CdBr | meta-GGA SCAN | PBEsol geometry

Cell: 4.7200 4.7200 4.7200 Å, 90.00 90.00 90.00°
Space group Pm-3m (No. 221)
Unique sites:
Nb (0.0000, 0.0000, 0.5000) [3 per cell]
Cd (0.5000, 0.5000, 0.5000) [1 per cell]
Br (0.0000, 0.0000, 0.0000) [1 per cell]

Values from the calculation:
As for the uncorrected energy: -28.778 eV per atom. For the volume, the calculation gives 105.2 Å³ per cell. Its uncorrected formation energy is 1.074 eV/atom.


Tb2Co7 | meta-GGA SCAN | PBEsol geometry

Cell: 4.8713 4.8713 35.6083 Å, 90.00 90.00 120.00°
Space group R-3m (No. 166, hexagonal axes)
Unique sites:
Tb (0.0000, 0.0000, 0.0515) [6 per cell]
Tb (0.0000, 0.0000, 0.1482) [6 per cell]
Co (0.0000, 0.0000, 0.2786) [6 per cell]
Co (0.0000, 0.0000, 0.3883) [6 per cell]
Co (0.0000, 0.0000, 0.5000) [3 per cell]
Co (0.0000, 0.5000, 0.0000) [9 per cell]
Co (0.0004, 0.5002, 0.1089) [18 per cell]

Values from the calculation:
As for the uncorrected energy: -23.928 eV per atom. For the volume, the calculation gives 731.8 Å³ per cell.


SrAlTe2P | meta-GGA SCAN | PBEsol geometry

Cell: 5.0846 5.0846 6.3788 Å, 90.00 90.00 90.00°
Space group P4/mmm (No. 123)
Unique sites:
Sr (0.0000, 0.0000, 0.0000) [1 per cell]
Al (0.0000, 0.0000, 0.5000) [1 per cell]
Te (0.0000, 0.5000, 0.5000) [2 per cell]
P (0.5000, 0.5000, 0.0000) [1 per cell]

Values from the calculation:
As for the uncorrected energy: -22.724 eV per atom. For the volume, the calculation gives 164.9 Å³ per cell. Its uncorrected formation energy is 0.261 eV/atom.


SrFeBr | meta-GGA SCAN | PBEsol geometry

Cell: 3.8338 3.8338 6.1463 Å, 90.00 90.00 120.00°
Space group P3m1 (No. 156)
Unique sites:
Sr (0.0000, 0.0000, 0.0000) [1 per cell]
Fe (0.6667, 0.3333, 0.3711) [1 per cell]
Br (0.3333, 0.6667, 0.6345) [1 per cell]

Values from the calculation:
As for the uncorrected energy: -20.064 eV per atom. For the volume, the calculation gives 78.2 Å³ per cell. Its uncorrected formation energy is -0.110 eV/atom.